A relaxed structure of KU2Te4. Source: Alexandria via LeMat-Bulk, functional PBE.

Unit cell a=4.4510 b=7.7037 c=15.4128 alpha=90.00 beta=90.00 gamma=106.79
With the nearest neighbours (Å) after each atom.
Fractional positions:
K 0.6035 0.2070 0.7500  6 Te 3.49-3.60
K 0.3965 0.7930 0.2500  6 Te 3.49-3.60
U 0.1349 0.2697 0.4369  6 Te 3.00-3.14
U 0.8651 0.7303 0.9369  6 Te 3.00-3.14
U 0.1349 0.2697 0.0631  6 Te 3.00-3.14
U 0.8651 0.7303 0.5631  6 Te 3.00-3.14
Te 0.7677 0.5354 0.1140  3 U 3.07-3.09
Te 0.7677 0.5354 0.3860  3 U 3.07-3.09
Te 0.2323 0.4646 0.8860  3 U 3.07-3.09
Te 0.2323 0.4646 0.6140  3 U 3.07-3.09
Te 0.9215 0.8430 0.7500  2 U 3.00
Te 0.0785 0.1570 0.2500  2 U 3.00
Te 0.5000 0.0000 0.0000  4 U 3.14
Te 0.5000 0.0000 0.5000  4 U 3.14

DOS at the Fermi energy = 28.38 states/eV/cell
Uncorrected energy = -5.907 eV per atom
E_form (uncorrected) = -730.3 meV/atom
Magnetic moment = 5.00 μB/f.u.